This record from the Alexandria database describes InAgTeSe after structural relaxation. The functional is PBE-GGA.

a b c (Å): 4.5256 4.5256 7.7304
angles (deg): 72.98 72.98 60.00
Fractional coordinates of all 4 atoms:
In1 0.9783 0.9783 0.0650
Ag1 0.4730 0.4730 0.5811
Te1 0.1057 0.1057 0.6829
Se1 0.5997 0.5997 0.2009

Values from the calculation:
* size of the total moment: 0.000 μB/atom
* raw formation energy: -0.273 eV/atom
* excess energy over the best structure of this formula in the dataset: 1.62 kcal/mol of atoms

This record from the Alexandria database describes Tl2InAgSe4 after structural relaxation. The functional is PBE-GGA.

a b c (Å): 6.8178 6.8179 7.4532
angles (deg): 117.24 117.25 89.98
Fractional coordinates of all 8 atoms:
Tl1 0.4859 0.9859 0.9717
Tl2 0.2357 0.2358 0.4719
In1 0.7358 0.7357 0.4718
Ag1 0.9861 0.4860 0.9719
Se1 0.6561 0.6539 0.7478
Se2 0.8177 0.3800 0.1954
Se3 0.3780 0.8158 0.1956
Se4 0.0917 0.0938 0.7480

Values from the calculation:
* size of the total moment: 0.000 μB/atom
* raw formation energy: -0.299 eV/atom

This record from the Alexandria database describes TlInAgSe3 after structural relaxation. The functional is PBE-GGA.

a b c (Å): 4.1144 7.9442 10.6667
angles (deg): 106.72 90.00 90.00
Fractional coordinates of all 12 atoms:
Tl1 0.2500 0.2192 0.2083
Tl2 0.7500 0.7808 0.7917
In1 0.2500 0.1599 0.6362
In2 0.7500 0.8401 0.3638
Ag1 0.2500 0.6594 0.0954
Ag2 0.7500 0.3406 0.9046
Se1 0.7500 0.8999 0.1301
Se2 0.2500 0.1001 0.8699
Se3 0.2500 0.7908 0.5064
Se4 0.7500 0.2092 0.4936
Se5 0.7500 0.4922 0.1823
Se6 0.2500 0.5078 0.8177

Values from the calculation:
* size of the total moment: 0.000 μB/atom
* raw formation energy: -0.301 eV/atom

This record from the Alexandria database describes TlIn2AgSe4 after structural relaxation. The functional is PBE-GGA.

a b c (Å): 6.0659 8.2349 8.2349
angles (deg): 43.21 68.39 68.39
Fractional coordinates of all 8 atoms:
Tl1 0.0000 0.0000 0.0000
In1 0.2500 0.2500 0.2500
In2 0.7500 0.7500 0.7500
Ag1 0.5000 0.5000 0.5000
Se1 0.4165 0.1371 0.5834
Se2 0.1370 0.8629 0.4166
Se3 0.8630 0.5834 0.1371
Se4 0.5835 0.4166 0.8629

Values from the calculation:
* size of the total moment: 0.000 μB/atom
* raw formation energy: -0.392 eV/atom